[1]
The following is a GGA-PBE calculation of crystalline Th2Be3CoIr4 at its relaxed geometry, from Alexandria.

Structure (CIF):
```
data_Th2Be3CoIr4
_symmetry_space_group_name_H-M 'P -4 m 2'
_symmetry_Int_Tables_number 115
_cell_length_a 4.090
_cell_length_b 4.090
_cell_length_c 9.607
_cell_angle_alpha 90.00
_cell_angle_beta 90.00
_cell_angle_gamma 90.00
loop_
_symmetry_equiv_pos_as_xyz
'x,y,z'
'y,-x,-z'
'-x,-y,z'
'-y,x,-z'
'-x,y,z'
'-y,-x,-z'
'x,-y,z'
'y,x,-z'
loop_
_atom_site_label
_atom_site_type_symbol
_atom_site_fract_x
_atom_site_fract_y
_atom_site_fract_z
Th1 Th 0.000 0.500 0.241
Be1 Be 0.000 0.500 0.885
Be2 Be 0.500 0.500 0.500
Co1 Co 0.000 0.000 0.500
Ir1 Ir 0.000 0.000 0.000
Ir2 Ir 0.000 0.500 0.638
Ir3 Ir 0.500 0.500 0.000
```

Properties
energy of formation from the pure elements = -0.62 eV/atom



[2]
The following is a GGA-PBE calculation of crystalline TbSm3Ho7 at its relaxed geometry, from Alexandria.

Structure (CIF):
```
data_TbSm3Ho7
_symmetry_space_group_name_H-M 'P 1 2/m 1'
_symmetry_Int_Tables_number 10
_cell_length_a 6.933
_cell_length_b 5.512
_cell_length_c 9.963
_cell_angle_alpha 90.00
_cell_angle_beta 109.87
_cell_angle_gamma 90.00
loop_
_symmetry_equiv_pos_as_xyz
'x,y,z'
'-x,-y,-z'
'-x,y,-z'
'x,-y,z'
loop_
_atom_site_label
_atom_site_type_symbol
_atom_site_fract_x
_atom_site_fract_y
_atom_site_fract_z
Tb1 Tb 0.000 0.000 0.000
Sm1 Sm 0.219 0.500 0.502
Sm2 Sm 0.500 0.000 0.000
Ho1 Ho 0.080 0.000 0.670
Ho2 Ho 0.180 0.500 0.862
Ho3 Ho 0.353 0.500 0.211
Ho4 Ho 0.500 0.000 0.500
```

Properties
energy of formation from the pure elements = 0.15 eV/atom
polymorph energy (0 for the lowest one) = 0.0000 eV per atom



[3]
The following is a GGA-PBE calculation of crystalline GaBi2Pd at its relaxed geometry, from Alexandria.

Structure (CIF):
```
data_GaBi2Pd
_symmetry_space_group_name_H-M 'R -3 m'
_symmetry_Int_Tables_number 166
_symmetry_space_group_name_Hall '-R 3 2"'
_cell_length_a 3.3196
_cell_length_b 3.3196
_cell_length_c 32.6354
_cell_angle_alpha 90.00
_cell_angle_beta 90.00
_cell_angle_gamma 120.00
loop_
_atom_site_label
_atom_site_type_symbol
_atom_site_fract_x
_atom_site_fract_y
_atom_site_fract_z
Ga1 Ga 0.0000 0.0000 0.0000
Bi1 Bi 0.0000 0.0000 0.4173
Pd1 Pd 0.0000 0.0000 0.5000
```

Properties
energy of formation from the pure elements = 0.21 eV/atom



[4]
The following is a GGA-PBE calculation of crystalline LaAs2RhSe at its relaxed geometry, from Alexandria.

Structure (CIF):
```
data_LaAs2RhSe
_symmetry_space_group_name_H-M 'P 4/m m m'
_symmetry_Int_Tables_number 123
_symmetry_space_group_name_Hall '-P 4 2'
_cell_length_a 4.959
_cell_length_b 4.959
_cell_length_c 5.497
_cell_angle_alpha 90.00
_cell_angle_beta 90.00
_cell_angle_gamma 90.00
loop_
_atom_site_label
_atom_site_type_symbol
_atom_site_fract_x
_atom_site_fract_y
_atom_site_fract_z
La1 La 0.000 0.000 0.000
As1 As 0.000 0.500 0.500
Rh1 Rh 0.500 0.500 0.000
Se1 Se 0.000 0.000 0.500
```

Properties
formation energy from raw total energies = 0.421 eV per atom
polymorph energy (0 for the lowest one) = 0.9525 eV per atom